# 1
{
  "formula": "Mg10Si3H4O18",
  "functional": "SCAN",
  "state": "PBEsol geometry",
  "lattice": [[-1.643, 2.232, 4.295], [4.236, -6.010, 4.745], [11.388, 8.130, 0.132]],
  "species": ["H", "H", "H", "H", "H", "H", "H", "H", "Mg", "Mg", "Mg", "Mg", "Mg", "Mg", "Mg", "Mg", "Mg", "Mg", "Mg", "Mg", "Mg", "Mg", "Mg", "Mg", "Mg", "Mg", "Mg", "Mg", "O", "O", "O", "O", "O", "O", "O", "O", "O", "O", "O", "O", "O", "O", "O", "O", "O", "O", "O", "O", "O", "O", "O", "O", "O", "O", "O", "O", "O", "O", "O", "O", "O", "O", "O", "O", "Si", "Si", "Si", "Si", "Si", "Si"],
  "frac_coords": [[0.417, 0.600, 0.689], [0.083, 0.100, 0.189], [0.917, 0.100, 0.811], [0.083, 0.900, 0.189], [0.417, 0.400, 0.689], [0.583, 0.600, 0.311], [0.583, 0.400, 0.311], [0.917, 0.900, 0.811], [0.157, 0.324, 0.823], [0.843, 0.324, 0.177], [0.335, 0.500, 0.175], [0.343, 0.176, 0.323], [0.343, 0.824, 0.323], [0.000, 0.178, 0.500], [0.165, 0.000, 0.675], [0.000, 0.841, 0.000], [0.843, 0.676, 0.177], [0.500, 0.659, 0.500], [0.000, 0.159, 0.000], [0.657, 0.176, 0.677], [0.665, 0.500, 0.825], [0.657, 0.824, 0.677], [0.500, 0.322, 0.000], [0.500, 0.341, 0.500], [0.500, 0.678, 0.000], [0.000, 0.822, 0.500], [0.835, 0.000, 0.325], [0.157, 0.676, 0.823], [0.295, 0.500, 0.587], [0.668, 0.843, 0.086], [0.668, 0.157, 0.086], [0.521, 0.658, 0.254], [0.645, 0.145, 0.427], [0.145, 0.355, 0.073], [0.832, 0.657, 0.586], [0.855, 0.355, 0.927], [0.479, 0.342, 0.746], [0.145, 0.645, 0.073], [0.510, 0.000, 0.242], [0.355, 0.145, 0.573], [0.010, 0.500, 0.258], [0.696, 0.500, 0.079], [0.521, 0.342, 0.254], [0.332, 0.157, 0.914], [0.645, 0.855, 0.427], [0.804, 0.000, 0.579], [0.355, 0.855, 0.573], [0.168, 0.343, 0.414], [0.979, 0.158, 0.754], [0.832, 0.343, 0.586], [0.705, 0.500, 0.413], [0.332, 0.843, 0.914], [0.795, 0.000, 0.913], [0.168, 0.657, 0.414], [0.021, 0.158, 0.246], [0.979, 0.842, 0.754], [0.490, 0.000, 0.758], [0.205, 0.000, 0.087], [0.304, 0.500, 0.921], [0.855, 0.645, 0.927], [0.021, 0.842, 0.246], [0.196, 0.000, 0.421], [0.479, 0.658, 0.746], [0.990, 0.500, 0.742], [0.000, 0.500, 0.000], [0.500, 0.000, 0.500], [0.484, 0.000, 0.876], [0.984, 0.500, 0.624], [0.016, 0.500, 0.376], [0.516, 0.000, 0.124]],
  "e_tot_ev_per_atom": -8.62,
  "sg": "No. 58"
}



# 2
{
  "formula": "MgSiH6O6",
  "functional": "SCAN",
  "state": "PBEsol geometry",
  "lattice": [[-2.784, -2.243, 3.578], [3.842, -3.290, 0.928], [2.720, 4.572, 4.948]],
  "species": ["Si", "Si", "O", "O", "O", "O", "O", "O", "O", "O", "O", "O", "O", "O", "Mg", "Mg", "H", "H", "H", "H", "H", "H", "H", "H", "H", "H", "H", "H"],
  "frac_coords": [[0.749, 0.501, 0.249], [0.251, 0.001, 0.751], [0.618, 0.519, 0.478], [0.945, 0.156, 0.679], [0.449, 0.347, 0.178], [0.880, 0.471, 0.021], [0.902, 0.192, 0.310], [0.392, 0.312, 0.805], [0.608, 0.812, 0.195], [0.055, 0.656, 0.321], [0.098, 0.692, 0.690], [0.551, 0.847, 0.822], [0.120, 0.971, 0.979], [0.382, 0.019, 0.522], [0.253, 0.001, 0.249], [0.747, 0.501, 0.751], [0.731, 0.958, 0.236], [0.573, 0.848, 0.960], [0.427, 0.348, 0.040], [0.492, 0.859, 0.506], [0.198, 0.533, 0.280], [0.093, 0.678, 0.551], [0.003, 0.127, 0.990], [0.508, 0.359, 0.494], [0.269, 0.458, 0.764], [0.907, 0.178, 0.449], [0.802, 0.033, 0.720], [0.997, 0.627, 0.010]],
  "e_tot_ev_per_atom": -6.98,
  "sg": "No. 4"
}



# 3
{
  "formula": "Mg16Si8HO32",
  "functional": "SCAN",
  "state": "PBEsol geometry",
  "lattice": [[-4.545, 3.851, -1.072], [-5.574, -5.146, 5.827], [3.147, 5.684, 7.957]],
  "species": ["O", "O", "O", "O", "O", "O", "O", "O", "O", "O", "O", "O", "O", "O", "O", "O", "O", "O", "O", "O", "O", "O", "O", "O", "O", "O", "O", "O", "O", "O", "O", "O", "Si", "Si", "Si", "Si", "Si", "Si", "Si", "Si", "Mg", "Mg", "Mg", "Mg", "Mg", "Mg", "Mg", "Mg", "Mg", "Mg", "Mg", "Mg", "Mg", "Mg", "Mg", "Mg", "H"],
  "frac_coords": [[0.746, 0.889, 0.553], [0.496, 0.389, 0.344], [0.246, 0.863, 0.593], [0.246, 0.364, 0.593], [0.247, 0.109, 0.450], [0.035, 0.643, 0.160], [0.468, 0.639, 0.164], [0.738, 0.632, 0.406], [0.527, 0.888, 0.337], [0.748, 0.135, 0.408], [0.237, 0.609, 0.447], [0.537, 0.860, 0.835], [0.253, 0.640, 0.945], [0.030, 0.610, 0.664], [0.260, 0.887, 0.091], [0.960, 0.888, 0.338], [0.757, 0.361, 0.053], [0.751, 0.615, 0.907], [0.248, 0.387, 0.092], [0.481, 0.159, 0.175], [0.465, 0.611, 0.662], [0.745, 0.388, 0.550], [0.757, 0.115, 0.909], [0.266, 0.140, 0.949], [0.535, 0.361, 0.836], [0.945, 0.387, 0.329], [0.756, 0.861, 0.052], [0.970, 0.861, 0.836], [0.032, 0.110, 0.665], [0.968, 0.361, 0.836], [0.465, 0.109, 0.668], [0.055, 0.132, 0.161], [0.263, 0.217, 0.093], [0.746, 0.964, 0.406], [0.245, 0.034, 0.597], [0.752, 0.286, 0.905], [0.256, 0.716, 0.092], [0.742, 0.463, 0.405], [0.753, 0.786, 0.905], [0.244, 0.535, 0.595], [0.750, 0.002, 0.723], [0.508, 0.998, 0.996], [0.492, 0.750, 0.499], [0.992, 0.749, 0.503], [0.795, 0.233, 0.212], [0.248, 0.255, 0.779], [0.247, 0.993, 0.281], [0.998, 0.248, 0.503], [0.003, 0.502, 0.995], [0.746, 0.505, 0.723], [0.499, 0.244, 0.514], [0.011, 0.999, 0.997], [0.751, 0.748, 0.221], [0.250, 0.754, 0.777], [0.221, 0.508, 0.274], [0.503, 0.501, 0.000], [0.483, 0.307, 0.279]],
  "relative_energy_mev_per_atom": 24,
  "sg": "No. 1"
}



# 4
{
  "formula": "MgTeH12O9",
  "functional": "SCAN",
  "state": "PBEsol geometry",
  "lattice": [[5.886, -0.072, -0.083], [-0.817, 5.829, -0.083], [-0.817, -0.928, 5.756]],
  "species": ["H", "H", "H", "H", "H", "H", "H", "H", "H", "H", "H", "H", "O", "O", "O", "O", "O", "O", "O", "O", "O", "Te", "Mg"],
  "frac_coords": [[0.391, 0.177, 0.816], [0.127, 0.629, 0.732], [0.177, 0.816, 0.391], [0.027, 0.533, 0.956], [0.431, 0.284, 0.088], [0.956, 0.027, 0.533], [0.533, 0.956, 0.027], [0.088, 0.431, 0.284], [0.629, 0.732, 0.127], [0.816, 0.391, 0.177], [0.284, 0.088, 0.431], [0.732, 0.127, 0.629], [0.867, 0.042, 0.666], [0.042, 0.666, 0.867], [0.242, 0.595, 0.501], [0.666, 0.867, 0.042], [0.501, 0.242, 0.595], [0.138, 0.969, 0.346], [0.595, 0.501, 0.242], [0.969, 0.346, 0.138], [0.346, 0.138, 0.969], [0.560, 0.560, 0.560], [0.002, 0.002, 0.002]],
  "e_tot_ev_per_atom": -7.33,
  "sg": "No. 146"
}



# 5
{
  "formula": "Mg2H6Os",
  "functional": "SCAN",
  "state": "PBEsol geometry",
  "lattice": [[4.677, 0.000, 0.000], [2.339, 4.051, 0.000], [2.339, 1.350, 3.819]],
  "species": ["H", "H", "H", "H", "H", "H", "Os", "Mg", "Mg"],
  "frac_coords": [[0.256, 0.744, 0.256], [0.744, 0.256, 0.744], [0.744, 0.256, 0.256], [0.256, 0.256, 0.744], [0.256, 0.744, 0.744], [0.744, 0.744, 0.256], [0.000, 0.000, 0.000], [0.750, 0.750, 0.750], [0.250, 0.250, 0.250]],
  "e_tot_ev_per_atom": -11.82,
  "sg": "No. 225"
}



# 6
{
  "formula": "Mg2PHW",
  "functional": "SCAN",
  "state": "PBEsol geometry",
  "lattice": [[-0.715, -2.478, 1.547], [3.449, -2.707, -2.740], [3.650, 1.123, 3.485]],
  "species": ["P", "H", "Mg", "Mg", "W"],
  "frac_coords": [[0.000, 0.000, 0.000], [0.500, 0.000, 0.000], [0.000, 0.500, 0.000], [0.000, 0.000, 0.500], [0.500, 0.500, 0.500]],
  "e_tot_ev_per_atom": -17.83,
  "sg": "No. 123"
}



# 7
{
  "formula": "Mg3HPb",
  "functional": "SCAN",
  "state": "PBEsol geometry",
  "lattice": [[4.515, 0.000, 0.000], [0.000, 4.515, 0.000], [0.000, 0.000, 4.515]],
  "species": ["Mg", "Mg", "Mg", "Pb", "H"],
  "frac_coords": [[0.000, 0.000, 0.500], [0.500, 0.000, 0.000], [0.000, 0.500, 0.000], [0.500, 0.500, 0.500], [0.000, 0.000, 0.000]],
  "e_tot_ev_per_atom": -18.94,
  "sg": "No. 221"
}



# 8
{
  "formula": "MgH2Pd2",
  "functional": "SCAN",
  "state": "PBEsol geometry",
  "lattice": [[3.305, 0.000, 0.000], [0.000, 3.305, 0.000], [-1.652, -1.652, 4.810]],
  "species": ["Pd", "Pd", "H", "H", "Mg"],
  "frac_coords": [[0.656, 0.656, 0.313], [0.344, 0.344, 0.687], [0.250, 0.750, 0.500], [0.750, 0.250, 0.500], [0.000, 0.000, 0.000]],
  "relative_energy_mev_per_atom": 0,
  "sg": "No. 139"
}



# 9
{
  "formula": "MgH2Pd2",
  "functional": "SCAN",
  "state": "PBEsol geometry",
  "lattice": [[3.507, 0.000, 0.000], [0.000, 5.597, 0.000], [0.000, 0.000, 5.597]],
  "species": ["H", "H", "H", "H", "Pd", "Pd", "Pd", "Pd", "Mg", "Mg"],
  "frac_coords": [[0.000, 0.653, 0.847], [0.000, 0.847, 0.347], [0.000, 0.153, 0.653], [0.000, 0.347, 0.153], [0.500, 0.672, 0.828], [0.500, 0.172, 0.672], [0.500, 0.328, 0.172], [0.500, 0.828, 0.328], [0.000, 0.500, 0.500], [0.000, 0.000, 0.000]],
  "relative_energy_mev_per_atom": 40,
  "sg": "No. 127"
}



# 10
{
  "formula": "Rb3MgH",
  "functional": "SCAN",
  "state": "PBEsol geometry",
  "lattice": [[-0.822, -2.792, 5.193], [5.249, 2.040, 1.928], [-2.684, 4.845, 2.180]],
  "species": ["Rb", "Rb", "Rb", "Mg", "H"],
  "frac_coords": [[0.000, 0.000, 0.500], [0.500, 0.000, 0.000], [0.000, 0.500, 0.000], [0.500, 0.500, 0.500], [0.000, 0.000, 0.000]],
  "e_tot_ev_per_atom": -14.07,
  "sg": "No. 221"
}



# 11
{
  "formula": "Rb4Mg3H10",
  "functional": "SCAN",
  "state": "PBEsol geometry",
  "lattice": [[5.945, 0.000, 0.000], [-2.973, 6.975, 0.000], [0.000, 0.000, 13.294]],
  "species": ["Rb", "Rb", "Rb", "Rb", "Rb", "Rb", "Rb", "Rb", "H", "H", "H", "H", "H", "H", "H", "H", "H", "H", "H", "H", "H", "H", "H", "H", "H", "H", "H", "H", "Mg", "Mg", "Mg", "Mg", "Mg", "Mg"],
  "frac_coords": [[0.742, 0.483, 0.605], [0.038, 0.076, 0.640], [0.258, 0.517, 0.395], [0.242, 0.483, 0.895], [0.462, 0.924, 0.140], [0.538, 0.076, 0.860], [0.758, 0.517, 0.105], [0.962, 0.924, 0.360], [0.239, 0.478, 0.644], [0.025, 0.050, 0.854], [0.739, 0.478, 0.856], [0.525, 0.050, 0.646], [0.117, 0.799, 0.962], [0.635, 0.769, 0.750], [0.761, 0.522, 0.356], [0.182, 0.799, 0.538], [0.475, 0.950, 0.354], [0.883, 0.201, 0.038], [0.617, 0.799, 0.538], [0.682, 0.799, 0.962], [0.318, 0.201, 0.038], [0.261, 0.522, 0.144], [0.365, 0.231, 0.250], [0.383, 0.201, 0.462], [0.135, 0.769, 0.750], [0.818, 0.201, 0.462], [0.865, 0.231, 0.250], [0.975, 0.950, 0.146], [0.374, 0.748, 0.655], [0.000, 0.000, 0.000], [0.126, 0.252, 0.155], [0.626, 0.252, 0.345], [0.500, 0.000, 0.500], [0.874, 0.748, 0.845]],
  "e_tot_ev_per_atom": -8.13,
  "sg": "No. 64"
}



# 12
{
  "formula": "RbMgH3",
  "functional": "SCAN",
  "state": "PBEsol geometry",
  "lattice": [[-3.794, -0.713, -4.377], [2.647, -4.639, 2.352], [-10.576, -1.279, 9.376]],
  "species": ["H", "H", "H", "H", "H", "H", "H", "H", "H", "H", "H", "H", "H", "H", "H", "H", "H", "H", "Rb", "Rb", "Rb", "Rb", "Rb", "Rb", "Mg", "Mg", "Mg", "Mg", "Mg", "Mg"],
  "frac_coords": [[0.332, 0.166, 0.080], [0.043, 0.521, 0.750], [0.834, 0.166, 0.080], [0.332, 0.166, 0.420], [0.957, 0.479, 0.250], [0.668, 0.834, 0.920], [0.668, 0.834, 0.580], [0.834, 0.166, 0.420], [0.166, 0.834, 0.920], [0.166, 0.834, 0.580], [0.479, 0.957, 0.750], [0.521, 0.479, 0.250], [0.834, 0.668, 0.080], [0.166, 0.332, 0.580], [0.166, 0.332, 0.920], [0.521, 0.043, 0.250], [0.479, 0.521, 0.750], [0.834, 0.668, 0.420], [0.000, 0.000, 0.750], [0.333, 0.667, 0.095], [0.333, 0.667, 0.405], [0.000, 0.000, 0.250], [0.667, 0.333, 0.595], [0.667, 0.333, 0.905], [0.333, 0.667, 0.846], [0.000, 0.000, 0.000], [0.667, 0.333, 0.154], [0.333, 0.667, 0.654], [0.667, 0.333, 0.346], [0.000, 0.000, 0.500]],
  "e_tot_ev_per_atom": -7.56,
  "sg": "No. 194"
}



# 13
{
  "formula": "MgHRh3",
  "functional": "SCAN",
  "state": "PBEsol geometry",
  "lattice": [[-1.924, 2.723, 1.997], [-3.243, -2.132, -0.217], [0.943, -1.774, 3.327]],
  "species": ["Mg", "Rh", "Rh", "Rh", "H"],
  "frac_coords": [[0.500, 0.500, 0.500], [0.000, 0.000, 0.500], [0.500, 0.000, 0.000], [0.000, 0.500, 0.000], [0.000, 0.000, 0.000]],
  "e_tot_ev_per_atom": -22.22,
  "sg": "No. 221"
}



# 14
{
  "formula": "MgSn2HRh",
  "functional": "SCAN",
  "state": "PBEsol geometry",
  "lattice": [[3.935, 0.000, 0.000], [0.000, 4.518, 0.000], [0.000, 0.000, 4.518]],
  "species": ["Sn", "Sn", "Rh", "Mg", "H"],
  "frac_coords": [[0.000, 0.500, 0.000], [0.000, 0.000, 0.500], [0.500, 0.500, 0.500], [0.500, 0.000, 0.000], [0.000, 0.000, 0.000]],
  "e_tot_ev_per_atom": -22.68,
  "sg": "No. 123"
}



# 15
{
  "formula": "MgHRu3",
  "functional": "SCAN",
  "state": "PBEsol geometry",
  "lattice": [[4.463, 0.000, 0.000], [0.000, 4.463, 0.000], [0.000, 0.000, 4.463]],
  "species": ["Ru", "Ru", "Ru", "Mg", "H"],
  "frac_coords": [[0.500, 0.000, 0.000], [0.000, 0.500, 0.000], [0.000, 0.000, 0.500], [0.000, 0.000, 0.000], [0.500, 0.500, 0.500]],
  "e_tot_ev_per_atom": -19.99,
  "sg": "No. 221"
}



# 16
{
  "formula": "Mg2H2S",
  "functional": "SCAN",
  "state": "PBEsol geometry",
  "lattice": [[3.308, 0.000, 0.000], [0.000, 3.308, 0.000], [-1.654, -1.654, 5.259]],
  "species": ["H", "H", "Mg", "Mg", "S"],
  "frac_coords": [[0.250, 0.750, 0.500], [0.750, 0.250, 0.500], [0.356, 0.356, 0.712], [0.644, 0.644, 0.288], [0.000, 0.000, 0.000]],
  "e_tot_ev_per_atom": -5.95,
  "sg": "No. 139"
}



no.,spin magnetization (μB per cell)
1,0.00
2,0.00
3,0.00
4,0.00
5,0.00
6,0.00
7,0.00
8,0.00
9,0.00
10,0.00
11,0.00
12,0.00
13,0.00
14,0.00
15,6.81
16,0.00